# Tl3TeF

A relaxed Tl3TeF crystal (GGA-PBEsol, the Alexandria database). Values from VASP.

Properties
Uncorrected energy = -17.134 eV per formula unit
Crystal system = cubic
Total magnetic moment = 0.00 μB per formula unit
Formation energy without anion corrections = -3.8 eV/f.u.

```
&SYSTEM
  ibrav = 0, nat = 5, ntyp = 3
/
ATOMIC_SPECIES
Tl 204.38 Tl.upf
Te 127.60 Te.upf
F 19.00 F.upf
ATOMIC_POSITIONS crystal
Tl 0.0000 0.0000 0.5000
Tl 0.0000 0.5000 0.0000
Tl 0.5000 0.0000 0.0000
Te 0.5000 0.5000 0.5000
F 0.0000 0.0000 0.0000
CELL_PARAMETERS angstrom
5.1947 0.0000 0.0000
0.0000 5.1947 0.0000
0.0000 0.0000 5.1947
```

***

# ReSiAu2

A relaxed ReSiAu2 crystal (GGA-PBEsol, the Alexandria database). Values from VASP.

Properties
Uncorrected energy = -24.857 eV per formula unit
Crystal system = tetragonal
Total magnetic moment = 0.00 μB per formula unit
Formation energy without anion corrections = 2.1 eV/f.u.

```
&SYSTEM
  ibrav = 0, nat = 4, ntyp = 3
/
ATOMIC_SPECIES
Re 186.21 Re.upf
Si 28.09 Si.upf
Au 196.97 Au.upf
ATOMIC_POSITIONS crystal
Re 0.0000 0.0000 0.0000
Si 0.5000 0.5000 0.0000
Au 0.2500 0.7500 0.5000
Au 0.7500 0.2500 0.5000
CELL_PARAMETERS angstrom
-1.8948 1.8948 4.2871
1.8948 -1.8948 4.2871
1.8948 1.8948 -4.2871
```

***

# SrNiSb2

A relaxed SrNiSb2 crystal (GGA-PBEsol, the Alexandria database). Values from VASP.

Properties
Uncorrected energy = -17.760 eV per formula unit
Crystal system = tetragonal
Total magnetic moment = 0.00 μB per formula unit
Formation energy without anion corrections = -0.6 eV/f.u.

```
&SYSTEM
  ibrav = 0, nat = 4, ntyp = 3
/
ATOMIC_SPECIES
Sr 87.62 Sr.upf
Ni 58.69 Ni.upf
Sb 121.76 Sb.upf
ATOMIC_POSITIONS crystal
Sr 0.0000 0.0000 0.0000
Ni 0.0000 0.0000 0.5000
Sb 0.5000 0.5000 0.3102
Sb 0.5000 0.5000 0.6898
CELL_PARAMETERS angstrom
3.4711 0.0000 0.0000
0.0000 3.4711 0.0000
0.0000 0.0000 7.6005
```

***

# Mn2FeOs

A relaxed Mn2FeOs crystal (GGA-PBEsol, the Alexandria database). Values from VASP.

Properties
Uncorrected energy = -40.306 eV per formula unit
Crystal system = monoclinic
Total magnetic moment = 0.35 μB per formula unit
Calculated formation energy = 99 meV/atom

```
&SYSTEM
  ibrav = 0, nat = 4, ntyp = 3
/
ATOMIC_SPECIES
Mn 54.94 Mn.upf
Fe 55.84 Fe.upf
Os 190.23 Os.upf
ATOMIC_POSITIONS crystal
Mn 0.0000 0.0000 0.0000
Mn 0.7452 0.7452 0.2234
Fe 0.4947 0.4947 0.4767
Os 0.2455 0.2455 0.7198
CELL_PARAMETERS angstrom
4.1595 -1.2807 0.0000
4.1595 1.2807 0.0000
-0.8067 0.0000 4.3041
```

***

# SnSbMoW2

A relaxed SnSbMoW2 crystal (GGA-PBEsol, the Alexandria database). Values from VASP.

Properties
Uncorrected energy = -34.314 eV per formula unit
Crystal system = tetragonal
Total magnetic moment = 1.88 μB per formula unit
Formation energy without anion corrections = 13.9 eV/f.u.

```
&SYSTEM
  ibrav = 0, nat = 5, ntyp = 4
/
ATOMIC_SPECIES
Sn 118.71 Sn.upf
Sb 121.76 Sb.upf
Mo 95.94 Mo.upf
W 183.84 W.upf
ATOMIC_POSITIONS crystal
Sn 0.0000 0.0000 0.0000
Sb 0.0000 0.0000 0.5000
Mo 0.5000 0.5000 0.0000
W 0.0000 0.5000 0.5000
W 0.5000 0.0000 0.5000
CELL_PARAMETERS angstrom
4.8655 0.0000 0.0000
0.0000 4.8655 0.0000
0.0000 0.0000 5.3165
```

***

# ScCuPd2

A relaxed ScCuPd2 crystal (GGA-PBEsol, the Alexandria database). Values from VASP.

Properties
Uncorrected energy = -25.367 eV per formula unit
Crystal system = cubic
Total magnetic moment = 0.00 μB per formula unit
Calculated formation energy = -628 meV/atom

```
&SYSTEM
  ibrav = 0, nat = 4, ntyp = 3
/
ATOMIC_SPECIES
Sc 44.96 Sc.upf
Cu 63.55 Cu.upf
Pd 106.42 Pd.upf
ATOMIC_POSITIONS crystal
Sc 0.0000 0.0000 0.0000
Cu 0.5000 0.5000 0.5000
Pd 0.2500 0.2500 0.2500
Pd 0.7500 0.7500 0.7500
CELL_PARAMETERS angstrom
0.0000 3.1010 3.1010
3.1010 0.0000 3.1010
3.1010 3.1010 0.0000
```

***

# MgZn2Cd

A relaxed MgZn2Cd crystal (GGA-PBEsol, the Alexandria database). Values from VASP.

Properties
Uncorrected energy = -6.041 eV per formula unit
Crystal system = orthorhombic
Total magnetic moment = 0.00 μB per formula unit
Polymorph energy (0 for the lowest one) = 0.044 eV per atom
Calculated formation energy = 9 meV/atom

```
&SYSTEM
  ibrav = 0, nat = 4, ntyp = 3
/
ATOMIC_SPECIES
Mg 24.30 Mg.upf
Zn 65.41 Zn.upf
Cd 112.41 Cd.upf
ATOMIC_POSITIONS crystal
Mg 0.0000 0.0000 0.0000
Zn 0.0000 0.0000 0.4708
Zn 0.5000 0.5000 0.2484
Cd 0.5000 0.5000 0.7274
CELL_PARAMETERS angstrom
3.0211 0.0000 0.0000
0.0000 3.9872 0.0000
0.0000 0.0000 5.8327
```

***

# Hf2GaCo2

A relaxed Hf2GaCo2 crystal (GGA-PBEsol, the Alexandria database). Values from VASP.

Properties
Uncorrected energy = -42.169 eV per formula unit
Crystal system = tetragonal
Total magnetic moment = 0.00 μB per formula unit
Calculated formation energy = -470 meV/atom

```
&SYSTEM
  ibrav = 0, nat = 10, ntyp = 3
/
ATOMIC_SPECIES
Hf 178.49 Hf.upf
Ga 69.72 Ga.upf
Co 58.93 Co.upf
ATOMIC_POSITIONS crystal
Hf 0.1723 0.3277 0.0000
Hf 0.3277 0.8277 0.0000
Hf 0.6723 0.1723 0.0000
Hf 0.8277 0.6723 0.0000
Ga 0.0000 0.0000 0.5000
Ga 0.5000 0.5000 0.5000
Co 0.1285 0.6285 0.5000
Co 0.3715 0.1285 0.5000
Co 0.6285 0.8715 0.5000
Co 0.8715 0.3715 0.5000
CELL_PARAMETERS angstrom
6.7936 0.0000 0.0000
0.0000 6.7936 0.0000
0.0000 0.0000 3.2552
```